# Pm3Tm4Mg | Alexandria | PBE | optimized geometry
# * DOS at the Fermi energy: 10.797 states/eV/f.u.
# * DFT total energy: -4.127 eV/atom
data_Pm3Tm4Mg
_chemical_formula_sum 'Pm6 Tm8 Mg2'
_space_group_name_H-M_alt 'I m m m'
_space_group_IT_number 71
_space_group_name_Hall '-I 2 2'
_cell_length_a 3.508
_cell_length_b 11.532
_cell_length_c 12.540
_cell_angle_alpha 90.00
_cell_angle_beta 90.00
_cell_angle_gamma 90.00
loop_
_atom_site_label
_atom_site_type_symbol
_atom_site_fract_x
_atom_site_fract_y
_atom_site_fract_z
Pm1 Pm 0.000 0.000 0.000
Pm2 Pm 0.000 0.500 0.234
Tm1 Tm 0.000 0.245 0.366
Mg1 Mg 0.000 0.000 0.500